Record 1
First-principles (PBE-GGA) data for a relaxed DyFe7B3 crystal, as listed in Alexandria.

abc: 6.6788 6.6788 18.5188
angles: 90.00 90.00 120.00
Space group R-3c (No. 167, hexagonal axes)
One atom of each set of equivalent atoms:
Dy 0.0000 0.0000 0.0000 [6 per cell]
Fe 0.0000 0.0000 0.2500 [6 per cell]
Fe 0.0099 0.2199 0.1386 [36 per cell]
B 0.0000 0.3262 0.2500 [18 per cell]

V: 715.4 Å³ per cell
electronic total energy: -7.730 eV per atom
crystal system: trigonal


Record 2
First-principles (PBE-GGA) data for a relaxed HoTm12Th7 crystal, as listed in Alexandria.

abc: 11.8551 11.8551 15.8326
angles: 90.00 90.00 120.00
Space group R-3 (No. 148, hexagonal axes)
One atom of each set of equivalent atoms:
Ho 0.0000 0.0000 0.0000 [3 per cell]
Tm 0.0217 0.5777 0.7193 [18 per cell]
Tm 0.0492 0.4621 0.0845 [18 per cell]
Th 0.0000 0.0000 0.5000 [3 per cell]
Th 0.0541 0.8699 0.7911 [18 per cell]

V: 1927.0 Å³ per cell
electronic total energy: -5.240 eV per atom
crystal system: trigonal


Record 3
First-principles (PBE-GGA) data for a relaxed WAu3 crystal, as listed in Alexandria.

abc: 4.3375 4.3375 14.8449
angles: 90.00 90.00 90.00
Space group I4/mmm (No. 139)
One atom of each set of equivalent atoms:
W 0.0000 0.0000 0.1270 [4 per cell]
Au 0.0000 0.0000 0.3741 [4 per cell]
Au 0.0000 0.5000 0.0000 [4 per cell]
Au 0.0000 0.5000 0.2500 [4 per cell]

V: 279.3 Å³ per cell
electronic total energy: -5.116 eV per atom
crystal system: tetragonal


Q: Which of these has the lowest V?
A: WAu3


Q: What is the electronic total energy in the third record?
A: -5.116 eV per atom


Q: The highest V belongs to which entry?
A: HoTm12Th7


Q: Among the records above, which one has the highest V?
A: HoTm12Th7